[1]
An optimized crystal structure of HgPbIN2. Source: Alexandria, functional PBE.

a b c (Å): 4.5387 6.3435 4.5387
angles (deg): 90.00 90.00 90.00
Element x y z (fractional)
1 Pb 0.5000 0.5000 0.5000
2 I 0.0000 0.5000 0.0000
3 Hg 0.0000 0.0000 0.0000
4 N 0.0000 0.0000 0.5000
5 N 0.5000 0.0000 0.0000

- space-group type = P4/mmm, No. 123
- VASP energy (eV per atom) = -2.81
- raw formation energy (eV/f.u.) = 8.18
- ΔE to the lowest computed polymorph (eV per atom) = 0.162

[2]
An optimized crystal structure of La6Pt2AuBr3. Source: Alexandria, functional PBE.

a b c (Å): 7.4831 7.4831 8.1846
angles (deg): 98.79 98.79 119.97
Element x y z (fractional)
1 La 0.9313 0.5859 0.7940
2 La 0.7234 0.7234 0.2056
3 La 0.0687 0.4141 0.2060
4 La 0.5859 0.9313 0.7940
5 La 0.2766 0.2766 0.7944
6 La 0.4141 0.0687 0.2060
7 Pt 0.3333 0.6667 0.0000
8 Pt 0.6667 0.3333 0.0000
9 Au 0.0000 0.0000 0.0000
10 Br 0.1648 0.8352 0.5000
11 Br 0.8352 0.1648 0.5000
12 Br 0.5000 0.5000 0.5000

- space-group type = C2/m, No. 12
- VASP energy (eV per atom) = -5.41
- raw formation energy (eV/f.u.) = -14.93

[3]
An optimized crystal structure of CdCoCu2. Source: Alexandria, functional PBE.

a b c (Å): 2.8068 2.8004 7.5938
angles (deg): 68.13 90.00 90.00
Element x y z (fractional)
1 Cd 0.0000 0.4970 0.5032
2 Co 0.5000 0.7166 0.7843
3 Cu 0.0000 0.0032 0.9966
4 Cu 0.5000 0.2832 0.2159

- space-group type = Pm, No. 6
- VASP energy (eV per atom) = -3.85
- calculated formation energy (eV/atom) = 0.20

[4]
An optimized crystal structure of TlFe2CoC. Source: Alexandria, functional PBE.

a b c (Å): 4.9198 4.8213 4.9198
angles (deg): 90.00 90.00 90.00
Element x y z (fractional)
1 C 0.5000 0.5000 0.5000
2 Tl 0.0000 0.0000 0.0000
3 Co 0.0000 0.5000 0.0000
4 Fe 0.0000 0.0000 0.5000
5 Fe 0.5000 0.0000 0.0000

- space-group type = P4/mmm, No. 123
- VASP energy (eV per atom) = -4.21
- calculated formation energy (eV/atom) = 2.92

[5]
An optimized crystal structure of NiAgB2Br. Source: Alexandria, functional PBE.

a b c (Å): 4.0063 6.4656 4.0063
angles (deg): 90.00 90.00 90.00
Element x y z (fractional)
1 Ni 0.5000 0.5000 0.5000
2 B 0.0000 0.0000 0.5000
3 B 0.5000 0.0000 0.0000
4 Br 0.0000 0.5000 0.0000
5 Ag 0.0000 0.0000 0.0000

- space-group type = P4/mmm, No. 123
- VASP energy (eV per atom) = -3.05
- raw formation energy (eV/f.u.) = 8.40

[6]
An optimized crystal structure of Pr5Er6Tm2. Source: Alexandria, functional PBE.

a b c (Å): 3.5981 11.6170 20.5690
angles (deg): 90.00 90.00 90.00
Element x y z (fractional)
1 Pr 0.5000 0.3024 0.4489
2 Pr 0.5000 0.6976 0.5511
3 Pr 0.5000 0.8024 0.0511
4 Pr 0.5000 0.1976 0.9489
5 Pr 0.5000 0.5832 0.2721
6 Pr 0.5000 0.4168 0.7279
7 Pr 0.5000 0.0832 0.2279
8 Pr 0.5000 0.9168 0.7721
9 Pr 0.5000 0.5000 0.0000
10 Pr 0.5000 0.0000 0.5000
11 Er 0.0000 0.0809 0.3683
12 Er 0.0000 0.9191 0.6317
13 Er 0.0000 0.5809 0.1317
14 Er 0.0000 0.4191 0.8683
15 Er 0.5000 0.3258 0.1397
16 Er 0.5000 0.6742 0.8603
17 Er 0.5000 0.8258 0.3603
18 Er 0.5000 0.1742 0.6397
19 Er 0.0000 0.5636 0.4183
20 Er 0.0000 0.4364 0.5817
21 Er 0.0000 0.0636 0.0817
22 Er 0.0000 0.9364 0.9183
23 Tm 0.0000 0.3291 0.2896
24 Tm 0.0000 0.6709 0.7104
25 Tm 0.0000 0.8291 0.2104
26 Tm 0.0000 0.1709 0.7896

- space-group type = Pbam, No. 55
- VASP energy (eV per atom) = -4.54
- calculated formation energy (eV/atom) = 0.10

[7]
An optimized crystal structure of ZrReAg2. Source: Alexandria, functional PBE.

a b c (Å): 4.9769 2.7766 5.2794
angles (deg): 78.71 90.00 90.00
Element x y z (fractional)
1 Ag 0.0000 0.0581 0.0119
2 Ag 0.0000 0.4419 0.4881
3 Re 0.5000 0.2500 0.2500
4 Zr 0.5000 0.7500 0.7500

- space-group type = P2/m, No. 10
- VASP energy (eV per atom) = -6.37
- ΔE to the lowest computed polymorph (eV per atom) = 0.100
- calculated formation energy (eV/atom) = 0.31

[8]
An optimized crystal structure of ZnBr. Source: Alexandria, functional PBE.

a b c (Å): 8.3081 8.3081 8.3081
angles (deg): 90.00 90.00 90.00
Element x y z (fractional)
1 Zn 0.1144 0.1144 0.1144
2 Zn 0.1144 0.8856 0.8856
3 Zn 0.8856 0.1144 0.8856
4 Zn 0.8856 0.8856 0.1144
5 Zn 0.6144 0.6144 0.6144
6 Zn 0.6144 0.3856 0.3856
7 Zn 0.3856 0.6144 0.3856
8 Zn 0.3856 0.3856 0.6144
9 Br 0.2829 0.2829 0.2829
10 Br 0.2829 0.7171 0.7171
11 Br 0.7171 0.2829 0.7171
12 Br 0.7171 0.7171 0.2829
13 Br 0.7829 0.7829 0.7829
14 Br 0.7829 0.2171 0.2171
15 Br 0.2171 0.7829 0.2171
16 Br 0.2171 0.2171 0.7829

- space-group type = I-43m, No. 217
- VASP energy (eV per atom) = -1.77
- raw formation energy (eV/f.u.) = -0.60

> VASP energy of number 4 (TlFe2CoC)?

-4.21 eV per atom

What did the fourth record say?
An optimized crystal structure of TlFe2CoC. Source: Alexandria, functional PBE.

a b c (Å): 4.9198 4.8213 4.9198
angles (deg): 90.00 90.00 90.00
Element x y z (fractional)
1 C 0.5000 0.5000 0.5000
2 Tl 0.0000 0.0000 0.0000
3 Co 0.0000 0.5000 0.0000
4 Fe 0.0000 0.0000 0.5000
5 Fe 0.5000 0.0000 0.0000

- space-group type = P4/mmm, No. 123
- VASP energy (eV per atom) = -4.21
- calculated formation energy (eV/atom) = 2.92

Copy entry 8 word for word.
An optimized crystal structure of ZnBr. Source: Alexandria, functional PBE.

a b c (Å): 8.3081 8.3081 8.3081
angles (deg): 90.00 90.00 90.00
Element x y z (fractional)
1 Zn 0.1144 0.1144 0.1144
2 Zn 0.1144 0.8856 0.8856
3 Zn 0.8856 0.1144 0.8856
4 Zn 0.8856 0.8856 0.1144
5 Zn 0.6144 0.6144 0.6144
6 Zn 0.6144 0.3856 0.3856
7 Zn 0.3856 0.6144 0.3856
8 Zn 0.3856 0.3856 0.6144
9 Br 0.2829 0.2829 0.2829
10 Br 0.2829 0.7171 0.7171
11 Br 0.7171 0.2829 0.7171
12 Br 0.7171 0.7171 0.2829
13 Br 0.7829 0.7829 0.7829
14 Br 0.7829 0.2171 0.2171
15 Br 0.2171 0.7829 0.2171
16 Br 0.2171 0.2171 0.7829

- space-group type = I-43m, No. 217
- VASP energy (eV per atom) = -1.77
- raw formation energy (eV/f.u.) = -0.60